18
Lattice="4.807 0.000 0.000 0.000 4.807 0.000 0.000 0.000 9.423" Properties=species:S:1:pos:R:3 comment="CaCrMoO6 PBE+U relaxed" energy_ev_per_cell=-126.3 total_magnetization_mub_per_cell=4.0 vol_a3_per_atom=12.1 pbc="T T T"
Ca 0.000 0.000 0.000
Ca 2.404 2.404 4.711
Cr 0.000 0.000 3.117
Cr 2.404 2.404 7.828
Mo 0.000 0.000 6.235
Mo 2.404 2.404 1.523
O 0.832 0.832 4.687
O 1.059 1.059 7.577
O 1.066 1.066 1.771
O 1.338 3.469 6.483
O 1.345 3.463 2.865
O 1.572 3.236 9.398
O 3.236 1.572 9.398
O 3.463 1.345 2.865
O 3.469 1.338 6.483
O 3.741 3.741 1.771
O 3.748 3.748 7.577
O 3.975 3.975 4.687